Density functional theory data (PBE) for a relaxed structure of YMoP.

Unit cell a=3.2835 b=3.2835 c=10.3568 alpha=90.00 beta=90.00 gamma=90.00
Space group I4mm (No. 107)
Asymmetric unit:
Y 0.0000 0.0000 0.0000
Mo 0.0000 0.0000 0.7061
P 0.0000 0.0000 0.2984

Summary:
Its calculated volume is 18.61 A^3/atom. As for the total magnetic moment: 0.00 μB per atom. The crystal system is tetragonal. The formation energy is -0.515 eV per atom. The total energy comes out at -8.083 eV/atom.

Density functional theory data (PBE) for a relaxed structure of Tb2SmIn3Te6.

Unit cell a=7.6956 b=13.3294 c=8.5092 alpha=90.00 beta=107.55 gamma=90.00
Space group C2/m (No. 12)
Asymmetric unit:
Tb 0.0000 0.1669 0.0000
Sm 0.0000 0.5000 0.0000
In 0.0000 0.0000 0.5000
In 0.0000 0.3347 0.5000
Te 0.2363 0.0000 0.2206
Te 0.2426 0.3314 0.2219

Summary:
Its calculated volume is 34.68 A^3/atom. As for the total magnetic moment: 0.00 μB per atom. The value obtained for the formation energy (no corrections) is -94.6 kJ/mol of atoms. The crystal system is monoclinic. The total energy comes out at -4.400 eV/atom.

Density functional theory data (PBE) for a relaxed structure of BaLi2Zr3O8.

Unit cell a=6.5466 b=6.5466 c=18.6092 alpha=90.00 beta=90.00 gamma=120.00
Space group R3m (No. 160, hexagonal axes)
Asymmetric unit:
Ba 0.0000 0.0000 0.0000
Li 0.0000 0.0000 0.3217
Li 0.0000 0.0000 0.8023
Zr 0.1691 0.3382 0.1986
O 0.0000 0.0000 0.1405
O 0.0000 0.0000 0.5904
O 0.0133 0.5067 0.1444
O 0.1911 0.3822 0.9300

Summary:
Its calculated volume is 16.45 A^3/atom. As for the total magnetic moment: 0.00 μB per atom. The value obtained for the formation energy (no corrections) is -279.4 kJ/mol of atoms. The crystal system is trigonal. The total energy comes out at -7.971 eV/atom.

Density functional theory data (PBE) for a relaxed structure of PrHoAgPd.

Unit cell a=4.7837 b=3.8270 c=10.8853 alpha=90.00 beta=90.00 gamma=90.00
Space group Amm2 (No. 38)
Asymmetric unit:
Pr 0.0000 0.0000 0.0000
Ho 0.5000 0.0000 0.7210
Ag 0.5000 0.0000 0.4368
Pd 0.0000 0.0000 0.2736

Summary:
Its calculated volume is 24.91 A^3/atom. As for the total magnetic moment: 0.00 μB per atom. The crystal system is orthorhombic. The formation energy is -0.539 eV per atom. The total energy comes out at -4.889 eV/atom.